22
Lattice="0.000 4.868 4.868 4.868 0.000 4.868 4.868 4.868 0.000" Properties=species:S:1:pos:R:3 comment="Co2Pd2O7, optimized geometry, DFT GGA+U" total_energy_ev_per_atom=-5.522 mass_density_g_cm3=6.37 crystal_system=cubic spacegroup="Fd-3m (227)" pbc="T T T"
Co 0.000 0.000 0.000
Co 2.434 2.434 0.000
Co 2.434 0.000 2.434
Co 0.000 2.434 2.434
Pd 4.868 2.434 2.434
Pd 2.434 4.868 2.434
Pd 2.434 2.434 4.868
Pd 4.868 4.868 4.868
O 1.217 1.217 1.217
O 3.651 3.651 1.431
O 3.651 1.431 3.651
O 5.871 3.651 3.651
O 6.085 6.085 3.865
O 6.085 3.865 6.085
O 8.306 6.085 6.085
O 1.431 3.651 3.651
O 3.651 5.871 3.651
O 3.651 3.651 5.871
O 3.865 6.085 6.085
O 6.085 8.306 6.085
O 6.085 6.085 8.306
O 8.519 8.519 8.519